[1]
The following is a DFT calculation (PBE) of TmPu2PaP4 after structural relaxation.

The calculated formation energy is -1.326 eV/atom. Its size of the total moment is 10.84 μB per cell. Its calculated density is 9.43 g cm⁻³.

a = 6.872 Å, b = 3.992 Å, c = 6.892 Å
α = 90.00°, β = 109.60°, γ = 90.00°
Space group P2/m (No. 10)
One atom of each set of equivalent atoms:
Tm  0.000  0.000  0.000
Pu  0.500  0.000  0.500
Pu  0.500  0.500  0.000
Pa  0.000  0.500  0.500
P  0.247  0.000  0.749
P  0.248  0.500  0.251

---

[2]
The following is a DFT calculation (PBE) of PuU2Pa3P6 after structural relaxation.

The calculated formation energy is -1.182 eV/atom. Its size of the total moment is 17.94 μB per cell. Its calculated density is 10.10 g cm⁻³.

a = 6.833 Å, b = 11.833 Å, c = 6.893 Å
α = 90.00°, β = 109.30°, γ = 90.00°
Space group C2/m (No. 12)
One atom of each set of equivalent atoms:
Pu  0.000  0.000  0.000
U  0.000  0.333  0.000
Pa  0.000  0.165  0.500
Pa  0.000  0.500  0.500
P  0.247  0.500  0.247
P  0.250  0.168  0.248